## Ac2W2O7 (PBE+U)

Data for a geometry-optimized Ac2W2O7 structure.

Lattice parameters (Å, degrees): 10.9485 10.9485 10.9485 90.00 90.00 90.00
Space group Fd-3m (No. 227, origin choice 2)
Inequivalent atoms, fractional coordinates:
Ac: 0.0000 0.0000 0.0000
W: 0.0000 0.0000 0.5000
O: 0.0769 0.3750 0.8750
O: 0.1250 0.1250 0.1250

Computed properties:
Uncorrected energy = -7.8281 eV/atom